First-principles (PBE-GGA) data for a relaxed structure of U2NbVC4, as listed in the Alexandria database.

Lattice parameters (Å, degrees): 3.228 5.543 5.827 108.52 90.00 90.00
Fractional positions:
1 U 0.000 0.500 0.500
2 U 0.500 0.000 0.500
3 C 0.000 0.750 0.223
4 C 0.500 0.768 0.780
5 C 0.000 0.250 0.777
6 C 0.500 0.232 0.220
7 V 0.000 0.000 0.000
8 Nb 0.500 0.500 0.000

Results
Final energy   -10.15 eV/atom
Energy relative to the elements   -321.6 meV per atom
Volume   98.86 Å³ per cell
SG   P2/m (10)

***

First-principles (PBE-GGA) data for a relaxed structure of UNbWC3, as listed in the Alexandria database.

Lattice parameters (Å, degrees): 3.197 5.544 8.470 102.62 90.00 90.00
Last column: magnetic moment on the atom in μB.
Fractional positions:
1 C 0.750 0.046 0.160  0.00
2 C 0.250 0.954 0.840  0.00
3 C 0.250 0.441 0.834  0.00
4 C 0.250 0.740 0.490  0.00
5 C 0.750 0.260 0.510  0.00
6 C 0.750 0.559 0.166  0.00
7 U 0.750 0.647 0.695  0.13
8 U 0.250 0.353 0.305  0.13
9 W 0.750 0.875 0.365  0.00
10 W 0.250 0.125 0.635  0.00
11 Nb 0.250 0.768 0.053  0.00
12 Nb 0.750 0.232 0.947  0.00

Results
Final energy   -10.68 eV/atom
Energy relative to the elements   -353.1 meV per atom
Volume   146.51 Å³ per cell
SG   P2_1/m (11)